LiVOF2 | PBE with a Hubbard U | optimized geometry

**Size of the total moment**: 2.0 Bohr magnetons per cell
**Calculated density**: 3.883 g/cm³
**Calculated total energy**: -5.25 eV per atom
**Energy above the lowest structure with this stoichiometry**: 989 meV/atom

Lattice parameters (Å, degrees): 3.416 3.416 4.100 90.00 90.00 90.00
Last column: magnetic moment on the atom in μB.
Fractional coordinates of all 5 atoms:
F1 0.000 0.500 0.000  -0.03
F2 0.500 0.000 0.000  -0.03
Li1 0.000 0.000 0.000  -0.01
O1 0.000 0.000 0.500  -0.42
V1 0.500 0.500 0.500  2.40